VASP calculation (PBE-GGA) on Pr2SmTh3S6 after structural relaxation.

abc: 6.982 6.982 7.067
angles: 99.44 99.44 119.61
Atoms (fractional coordinates):
S 0.917 0.589 0.751
S 0.756 0.756 0.253
S 0.244 0.244 0.747
S 0.083 0.411 0.249
S 0.411 0.083 0.249
S 0.589 0.917 0.751
Pr 0.666 0.334 0.000
Pr 0.334 0.666 0.000
Th 0.831 0.169 0.500
Th 0.500 0.500 0.500
Th 0.169 0.831 0.500
Sm 0.000 0.000 0.000

Summary:
* E_form (uncorrected): -184.8 kJ/mol of atoms